1.
BaTaSe | GGA-PBE | relaxed

Cell and atoms, written as POSCAR:
```
BaTaSe
1.0
5.0037 0.0000 0.0000
2.5018 4.3333 0.0000
2.5018 1.4444 4.0855
Ba Se Ta
1 1 1
direct
0.5000 0.5000 0.5000
0.7500 0.7500 0.7500
0.0000 0.0000 0.0000
```

Energy above the lowest structure with this stoichiometry ... 809.9 meV/atom
Crystal system ... cubic
Symmetry ... No. 216
Uncorrected energy ... -15.228 eV/cell
Volume ... 89 Å³ per cell



2.
BaTa2Se8 | GGA-PBE | relaxed

Cell and atoms, written as POSCAR:
```
BaTa2Se8
1.0
5.0816 -0.1415 0.0000
-0.1009 7.3196 0.0000
-0.0505 3.6598 7.8902
Ba Ta Se
1 2 8
direct
0.5000 0.0000 0.0000
0.0000 0.2479 0.5042
0.0000 0.7521 0.4958
0.9562 0.1172 0.2658
0.9562 0.3830 0.7342
0.3059 0.4173 0.0000
0.5000 0.7523 0.4954
0.5000 0.2477 0.5046
0.6941 0.5827 0.0000
0.0438 0.6170 0.2658
0.0438 0.8828 0.7342
```

Crystal system ... monoclinic
Symmetry ... No. 12
Uncorrected energy ... -60.246 eV/cell
Volume ... 293 Å³ per cell



3.
BaTa2Se | GGA-PBE | relaxed

Cell and atoms, written as POSCAR:
```
BaTa2Se
1.0
6.3553 -0.0062 0.0362
5.5771 3.0473 0.0362
2.0204 0.5149 5.2173
Ba Se Ta
1 1 2
direct
0.7500 0.7500 0.7500
0.2500 0.2500 0.2500
0.9513 0.9513 0.1155
0.5487 0.5487 0.3845
```

Crystal system ... monoclinic
Symmetry ... No. 12
Uncorrected energy ... -27.722 eV/cell
Volume ... 101 Å³ per cell



4.
BaTa2Se | GGA-PBE | relaxed

Cell and atoms, written as POSCAR:
```
BaTa2Se
1.0
3.5178 0.0098 0.0000
-0.0098 3.5178 0.0000
0.0000 0.0000 7.8959
Ba Se Ta
1 1 2
direct
0.0000 0.0000 0.5045
0.5000 0.5000 0.8196
0.0000 0.0000 0.0061
0.5000 0.5000 0.1699
```

Crystal system ... tetragonal
Symmetry ... No. 99
Uncorrected energy ... -28.906 eV/cell
Volume ... 98 Å³ per cell



5.
Ba2TaSe | GGA-PBE | relaxed

Cell and atoms, written as POSCAR:
```
Ba2TaSe
1.0
-1.1747 -0.3459 3.8537
-2.6353 -2.8780 -1.0616
5.8429 -5.8146 1.2592
Ba Se Ta
2 1 1
direct
0.0000 0.0000 0.0216
0.0000 0.0000 0.4784
0.5000 0.5000 0.2500
0.5000 0.5000 0.7500
```

Crystal system ... tetragonal
Symmetry ... No. 123
Uncorrected energy ... -18.830 eV/cell
Volume ... 136 Å³ per cell



6.
BaTa4Se12 | GGA-PBE | relaxed

Cell and atoms, written as POSCAR:
```
BaTa4Se12
1.0
-0.8813 7.6903 -2.5146
-6.4929 -4.3550 -2.2621
0.6707 -0.1425 8.1099
Ba Ta Se
1 4 12
direct
0.0000 0.0000 0.0000
0.0000 0.5000 0.0000
0.5000 0.0000 0.0000
0.5000 0.5000 0.5000
0.0000 0.0000 0.5000
0.8351 0.3214 0.1565
0.3214 0.4862 0.1649
0.8435 0.1649 0.6786
0.3214 0.1565 0.8351
0.1565 0.8351 0.3214
0.6786 0.5138 0.8351
0.4862 0.1649 0.3214
0.5138 0.8351 0.6786
0.6786 0.8435 0.1649
0.8351 0.6786 0.5138
0.1649 0.3214 0.4862
0.1649 0.6786 0.8435
```

Crystal system ... cubic
Symmetry ... No. 204
Uncorrected energy ... -103.081 eV/cell
Volume ... 415 Å³ per cell



7.
Ba2TaSe | GGA-PBE | relaxed

Cell and atoms, written as POSCAR:
```
Ba2TaSe
1.0
4.6053 0.0000 0.0000
0.0000 4.9847 -0.0021
0.0000 2.4965 5.9928
Ba Se Ta
2 1 1
direct
0.0000 0.9780 0.9192
0.5000 0.2703 0.3347
0.0000 0.6755 0.5234
0.5000 0.5762 0.7227
```

Crystal system ... orthorhombic
Symmetry ... No. 38
Uncorrected energy ... -19.230 eV/cell
Volume ... 138 Å³ per cell



8.
Ba2TaSe | GGA-PBE | relaxed

Cell and atoms, written as POSCAR:
```
Ba2TaSe
1.0
12.0135 0.0000 0.0000
0.0000 12.0135 0.0000
6.0067 6.0067 2.4597
Ba Se Ta
4 2 2
direct
0.4626 0.1250 0.2500
0.2874 0.6250 0.2500
0.3750 0.5374 0.7500
0.8750 0.7126 0.7500
0.5000 0.5000 0.0000
0.2500 0.7500 0.5000
0.0000 0.0000 0.0000
0.7500 0.2500 0.5000
```

Crystal system ... tetragonal
Symmetry ... No. 122
Uncorrected energy ... -37.414 eV/cell
Volume ... 355 Å³ per cell



9.
BaTaSe | GGA-PBE | relaxed

Cell and atoms, written as POSCAR:
```
BaTaSe
1.0
4.4228 0.0000 0.0000
-2.2114 3.8303 0.0000
0.0000 0.0000 5.3551
Ba Se Ta
1 1 1
direct
0.0000 0.0000 0.9999
0.6667 0.3333 0.5001
0.3333 0.6667 0.5000
```

Energy above the lowest structure with this stoichiometry ... 188.3 meV/atom
Crystal system ... hexagonal
Symmetry ... No. 187
Uncorrected energy ... -17.093 eV/cell
Volume ... 91 Å³ per cell



10.
BaTa2Se | GGA-PBE | relaxed

Cell and atoms, written as POSCAR:
```
BaTa2Se
1.0
-1.0040 -3.2864 3.3372
-1.2246 -4.6229 0.2715
6.3669 -2.8325 0.7767
Ba Se Ta
1 1 2
direct
0.5248 0.5248 0.4867
0.2602 0.2602 0.1529
0.9886 0.9886 0.0073
0.7264 0.7264 0.8532
```

Crystal system ... monoclinic
Symmetry ... No. 8
Uncorrected energy ... -28.395 eV/cell
Volume ... 104 Å³ per cell



11.
BaTaTl2Se4 | GGA-PBE | relaxed

Cell and atoms, written as POSCAR:
```
BaTaTl2Se4
1.0
-3.7985 1.8898 5.8809
-2.1564 -6.6530 -1.9161
7.0265 0.4199 1.7424
Ba Ta Tl Se
1 1 2 4
direct
0.5000 0.2500 0.7500
0.0000 0.5000 0.5000
0.5000 0.7500 0.2500
0.0000 0.0000 0.0000
0.6721 0.5103 0.5087
0.9984 0.1618 0.4897
0.0016 0.4913 0.1634
0.3279 0.8366 0.8382
```

Crystal system ... tetragonal
Symmetry ... No. 82
Uncorrected energy ... -38.811 eV/cell
Volume ... 292 Å³ per cell



12.
Ba2TaTl2Se6 | GGA-PBE | relaxed

Cell and atoms, written as POSCAR:
```
Ba2TaTl2Se6
1.0
-3.4142 6.9494 0.8362
-2.2025 -4.4673 -5.9868
-3.6014 -3.6525 5.4720
Ba Ta Tl Se
2 1 2 6
direct
0.3331 0.6669 0.5000
0.6669 0.3331 0.5000
0.0000 0.0000 0.5000
0.8528 0.1472 0.0000
0.1472 0.8528 0.0000
0.7946 0.7946 0.7182
0.0593 0.3323 0.7086
0.2054 0.2054 0.2818
0.3323 0.0593 0.7086
0.9407 0.6677 0.2914
0.6677 0.9407 0.2914
```

Crystal system ... monoclinic
Symmetry ... No. 12
Uncorrected energy ... -52.489 eV/cell
Volume ... 385 Å³ per cell